Entry 1:
# HfNbAuO2

HfNbAuO2 after structural relaxation (PBE-GGA, the Alexandria database). Values from VASP.

The structure in Quantum ESPRESSO input format:
```
&SYSTEM
  ibrav = 0, nat = 5, ntyp = 4
/
ATOMIC_SPECIES
Hf 178.49 Hf.upf
Nb 92.91 Nb.upf
Au 196.97 Au.upf
O 16.00 O.upf
ATOMIC_POSITIONS angstrom
Hf 0.0000 0.0000 0.0000
Nb 0.0000 0.0000 3.1501
Au 1.9664 1.9664 0.0000
O 0.0000 1.9664 3.1501
O 1.9664 0.0000 3.1501
CELL_PARAMETERS angstrom
3.9328 0.0000 0.0000
0.0000 3.9328 0.0000
0.0000 0.0000 6.3001
```

Properties
- Total magnetic moment: 0.0 Bohr magnetons per cell
- Density of states at the Fermi level: 4.395 states/eV/f.u.
- E: -7.555 eV/atom
- ρ: 8.5 g/cm³

=====

Entry 2:
# HfNb2PAu

HfNb2PAu after structural relaxation (PBE-GGA, the Alexandria database). Values from VASP.

The structure in Quantum ESPRESSO input format:
```
&SYSTEM
  ibrav = 0, nat = 5, ntyp = 4
/
ATOMIC_SPECIES
Hf 178.49 Hf.upf
Nb 92.91 Nb.upf
P 30.97 P.upf
Au 196.97 Au.upf
ATOMIC_POSITIONS angstrom
Hf 0.0000 0.0000 0.0000
Nb 0.0000 2.2924 2.4051
Nb 2.2924 0.0000 2.4051
P 0.0000 0.0000 2.4051
Au 2.2924 2.2924 0.0000
CELL_PARAMETERS angstrom
4.5847 0.0000 0.0000
0.0000 4.5847 0.0000
0.0000 0.0000 4.8103
```

Properties
- Total magnetic moment: 0.0 Bohr magnetons per cell
- Density of states at the Fermi level: 2.661 states/eV/f.u.
- ρ: 9.7 g/cm³
- E_form: 0.005 eV/atom

=====

Entry 3:
# Hf2NbPtAu

Hf2NbPtAu after structural relaxation (PBE-GGA, the Alexandria database). Values from VASP.

The structure in Quantum ESPRESSO input format:
```
&SYSTEM
  ibrav = 0, nat = 5, ntyp = 4
/
ATOMIC_SPECIES
Hf 178.49 Hf.upf
Nb 92.91 Nb.upf
Pt 195.08 Pt.upf
Au 196.97 Au.upf
ATOMIC_POSITIONS angstrom
Hf 0.0000 2.4712 0.0000
Hf 2.4712 0.0000 0.0000
Nb 0.0000 0.0000 2.5095
Pt 2.4712 2.4712 0.0000
Au 2.4712 2.4712 2.5095
CELL_PARAMETERS angstrom
4.9423 0.0000 0.0000
0.0000 4.9423 0.0000
0.0000 0.0000 5.0190
```

Properties
- Total magnetic moment: 2.3 Bohr magnetons per cell
- Density of states at the Fermi level: 6.088 states/eV/f.u.
- ρ: 11.4 g/cm³
- E_form: 0.687 eV/atom

=====

Entry 4:
# HfNbSn2Au

HfNbSn2Au after structural relaxation (PBE-GGA, the Alexandria database). Values from VASP.

The structure in Quantum ESPRESSO input format:
```
&SYSTEM
  ibrav = 0, nat = 5, ntyp = 4
/
ATOMIC_SPECIES
Hf 178.49 Hf.upf
Nb 92.91 Nb.upf
Sn 118.71 Sn.upf
Au 196.97 Au.upf
ATOMIC_POSITIONS angstrom
Hf 0.0000 0.0000 0.0000
Nb 2.5652 2.5652 0.0000
Sn 0.0000 2.5652 2.6012
Sn 2.5652 0.0000 2.6012
Au 0.0000 0.0000 2.6012
CELL_PARAMETERS angstrom
5.1303 0.0000 0.0000
0.0000 5.1303 0.0000
0.0000 0.0000 5.2024
```

Properties
- Total magnetic moment: 1.7 Bohr magnetons per cell
- Density of states at the Fermi level: 4.740 states/eV/f.u.
- ρ: 8.6 g/cm³
- E_form: 1.064 eV/atom

=====

Entry 5:
# HfTiNbAu

HfTiNbAu after structural relaxation (PBE-GGA, the Alexandria database). Values from VASP.

The structure in Quantum ESPRESSO input format:
```
&SYSTEM
  ibrav = 0, nat = 4, ntyp = 4
/
ATOMIC_SPECIES
Hf 178.49 Hf.upf
Ti 47.87 Ti.upf
Nb 92.91 Nb.upf
Au 196.97 Au.upf
ATOMIC_POSITIONS angstrom
Hf 0.0000 0.0000 0.0000
Ti 3.3096 3.3096 3.3096
Nb 4.9645 4.9645 4.9645
Au 1.6548 1.6548 1.6548
CELL_PARAMETERS angstrom
0.0000 3.3096 3.3096
3.3096 0.0000 3.3096
3.3096 3.3096 0.0000
```

Properties
- Total magnetic moment: 0.0 Bohr magnetons per cell
- Density of states at the Fermi level: 3.159 states/eV/f.u.
- ρ: 11.8 g/cm³
- E_form: -0.194 eV/atom

=====

Entry 6:
# HfTiNbAu

HfTiNbAu after structural relaxation (PBE-GGA, the Alexandria database). Values from VASP.

The structure in Quantum ESPRESSO input format:
```
&SYSTEM
  ibrav = 0, nat = 4, ntyp = 4
/
ATOMIC_SPECIES
Hf 178.49 Hf.upf
Ti 47.87 Ti.upf
Nb 92.91 Nb.upf
Au 196.97 Au.upf
ATOMIC_POSITIONS angstrom
Hf 0.0000 0.0000 0.0000
Ti 0.0000 0.0000 3.1752
Nb 1.6808 1.6808 1.6998
Au 1.6808 1.6808 4.8237
CELL_PARAMETERS angstrom
3.3615 0.0000 0.0000
0.0000 3.3615 0.0000
0.0000 0.0000 6.5418
```

Properties
- Total magnetic moment: 0.0 Bohr magnetons per cell
- Density of states at the Fermi level: 3.306 states/eV/f.u.
- ρ: 11.6 g/cm³
- E_form: -0.277 eV/atom

=====

Entry 7:
# HfZrNbAu

HfZrNbAu after structural relaxation (PBE-GGA, the Alexandria database). Values from VASP.

The structure in Quantum ESPRESSO input format:
```
&SYSTEM
  ibrav = 0, nat = 4, ntyp = 4
/
ATOMIC_SPECIES
Hf 178.49 Hf.upf
Zr 91.22 Zr.upf
Nb 92.91 Nb.upf
Au 196.97 Au.upf
ATOMIC_POSITIONS angstrom
Hf 0.0000 0.0000 0.0000
Zr 3.3986 3.3986 3.3986
Nb 1.6993 1.6993 1.6993
Au 5.0979 5.0979 5.0979
CELL_PARAMETERS angstrom
0.0000 3.3986 3.3986
3.3986 0.0000 3.3986
3.3986 3.3986 0.0000
```

Properties
- Total magnetic moment: 0.0 Bohr magnetons per cell
- Density of states at the Fermi level: 3.450 states/eV/f.u.
- ρ: 11.8 g/cm³
- E_form: -0.200 eV/atom

=====

Entry 8:
# HfZrNbAu

HfZrNbAu after structural relaxation (PBE-GGA, the Alexandria database). Values from VASP.

The structure in Quantum ESPRESSO input format:
```
&SYSTEM
  ibrav = 0, nat = 4, ntyp = 4
/
ATOMIC_SPECIES
Hf 178.49 Hf.upf
Zr 91.22 Zr.upf
Nb 92.91 Nb.upf
Au 196.97 Au.upf
ATOMIC_POSITIONS angstrom
Hf 0.0000 0.0000 0.0000
Zr 0.0000 0.0000 3.4364
Nb 1.7244 1.7244 5.0829
Au 1.7244 1.7244 1.6833
CELL_PARAMETERS angstrom
3.4488 0.0000 0.0000
0.0000 3.4488 0.0000
0.0000 0.0000 6.7062
```

Properties
- Total magnetic moment: 0.0 Bohr magnetons per cell
- Density of states at the Fermi level: 2.756 states/eV/f.u.
- ρ: 11.6 g/cm³
- E_form: -0.295 eV/atom

=====

Entry 9:
# NdHfAu

NdHfAu after structural relaxation (PBE-GGA, the Alexandria database). Values from VASP.

The structure in Quantum ESPRESSO input format:
```
&SYSTEM
  ibrav = 0, nat = 6, ntyp = 3
/
ATOMIC_SPECIES
Nd 144.24 Nd.upf
Hf 178.49 Hf.upf
Au 196.97 Au.upf
ATOMIC_POSITIONS angstrom
Nd 0.0020 0.0000 2.6787
Nd 3.2240 0.0000 4.7164
Hf 1.6086 1.6086 0.0000
Hf 1.6086 -1.6086 0.0000
Au 0.0104 0.0000 5.6453
Au 3.2156 0.0000 1.7498
CELL_PARAMETERS angstrom
3.2172 -3.2172 0.0000
3.2172 3.2172 0.0000
-3.2083 0.0000 7.3951
```

Properties
- Total magnetic moment: 0.0 Bohr magnetons per cell
- Density of states at the Fermi level: 1.815 states/eV/f.u.
- ρ: 11.3 g/cm³
- E_form: -0.405 eV/atom

=====

Entry 10:
# Hf4NiAu

Hf4NiAu after structural relaxation (PBE-GGA, the Alexandria database). Values from VASP.

The structure in Quantum ESPRESSO input format:
```
&SYSTEM
  ibrav = 0, nat = 12, ntyp = 3
/
ATOMIC_SPECIES
Hf 178.49 Hf.upf
Ni 58.69 Ni.upf
Au 196.97 Au.upf
ATOMIC_POSITIONS angstrom
Hf 1.7424 3.5698 4.8767
Hf 1.2823 1.0191 3.1644
Hf 3.8718 3.5698 2.8405
Hf 2.0482 -1.0191 0.5920
Hf 4.3319 1.0191 4.5528
Hf 2.5083 -3.5698 2.3043
Hf 5.0977 -1.0191 1.9804
Hf 4.6376 -3.5698 0.2681
Ni 3.5729 5.7481 1.2862
Ni 2.8071 -5.7481 3.8586
Au 3.5729 1.2423 1.2862
Au 2.8071 -1.2423 3.8586
CELL_PARAMETERS angstrom
3.9559 -5.7898 0.0000
3.9559 5.7898 0.0000
-1.5317 0.0000 5.1448
```

Properties
- Total magnetic moment: 0.0 Bohr magnetons per cell
- Density of states at the Fermi level: 6.889 states/eV/f.u.
- ρ: 13.7 g/cm³
- E_form: -0.268 eV/atom

=====

Entry 11:
# HfNi3Au

HfNi3Au after structural relaxation (PBE-GGA, the Alexandria database). Values from VASP.

The structure in Quantum ESPRESSO input format:
```
&SYSTEM
  ibrav = 0, nat = 5, ntyp = 3
/
ATOMIC_SPECIES
Hf 178.49 Hf.upf
Ni 58.69 Ni.upf
Au 196.97 Au.upf
ATOMIC_POSITIONS angstrom
Hf 0.0000 0.0000 0.0000
Ni 0.0000 0.0000 2.2612
Ni 0.0000 2.2612 0.0000
Ni 2.2612 0.0000 0.0000
Au 2.2612 2.2612 2.2612
CELL_PARAMETERS angstrom
4.5224 0.0000 0.0000
0.0000 4.5224 0.0000
0.0000 0.0000 4.5224
```

Properties
- Total magnetic moment: 0.0 Bohr magnetons per cell
- Density of states at the Fermi level: 2.713 states/eV/f.u.
- ρ: 9.9 g/cm³
- E_form: 1.086 eV/atom

=====

Copy entry 4 word for word.
# HfNbSn2Au

HfNbSn2Au after structural relaxation (PBE-GGA, the Alexandria database). Values from VASP.

The structure in Quantum ESPRESSO input format:
```
&SYSTEM
  ibrav = 0, nat = 5, ntyp = 4
/
ATOMIC_SPECIES
Hf 178.49 Hf.upf
Nb 92.91 Nb.upf
Sn 118.71 Sn.upf
Au 196.97 Au.upf
ATOMIC_POSITIONS angstrom
Hf 0.0000 0.0000 0.0000
Nb 2.5652 2.5652 0.0000
Sn 0.0000 2.5652 2.6012
Sn 2.5652 0.0000 2.6012
Au 0.0000 0.0000 2.6012
CELL_PARAMETERS angstrom
5.1303 0.0000 0.0000
0.0000 5.1303 0.0000
0.0000 0.0000 5.2024
```

Properties
- Total magnetic moment: 1.7 Bohr magnetons per cell
- Density of states at the Fermi level: 4.740 states/eV/f.u.
- ρ: 8.6 g/cm³
- E_form: 1.064 eV/atom